Record 1
SmI3O10 | PBE | optimized geometry

The formation energy from raw total energies comes out at -0.7387 eV per atom. As for the volume: 17.19 Å³/atom. The total energy comes out at -4.949 eV/atom.

```
28
Lattice="6.7346 0.0000 0.0000 0.0000 7.4940 -0.1555 0.0000 3.3201 9.4658" Properties=species:S:1:pos:R:3 pbc="T T T"
Sm 0.0640 6.2174 1.6924
Sm 3.4313 4.5968 7.6179
I 3.5844 8.0708 1.9537
I 0.2171 2.7433 7.3567
I 6.6130 2.6236 0.3591
I 3.2457 8.1905 8.9512
I 5.9206 6.4716 5.4906
I 2.5533 4.3425 3.8197
O 4.3877 6.4969 1.3796
O 1.0203 4.3172 7.9307
O 1.9993 7.3344 2.4603
O 5.3666 3.4797 6.8500
O 3.0954 1.2650 0.4974
O 6.4627 9.5491 8.8129
O 5.8932 3.9814 1.3610
O 2.5259 6.8327 7.9493
O 6.1414 1.1771 1.3860
O 2.7741 9.6370 7.9243
O 5.3067 5.9285 8.5345
O 1.9394 4.8856 0.7758
O 4.1893 5.8108 5.6532
O 0.8220 5.0033 3.6571
O 5.5762 8.0577 6.3818
O 2.2089 2.7564 2.9285
O 5.6357 7.0118 3.7231
O 2.2684 3.8023 5.5873
O 0.5833 7.9956 4.9692
O 3.9506 2.8186 4.3411
```

=====

Record 2
Sm2IO | PBE | optimized geometry

As for the density of states at the Fermi level: 0.81 states/eV per atom. The formation energy from raw total energies comes out at -1.6724 eV per atom. As for the volume: 23.06 Å³/atom. The total energy comes out at -5.659 eV/atom.

```
4
Lattice="-3.2570 1.8508 -0.3356 -2.1807 0.5314 3.0180 1.7292 7.2837 2.3106" Properties=species:S:1:pos:R:3 pbc="T T T"
I -1.8543 4.8329 2.4965
O 0.0000 0.0000 0.0000
Sm -1.2178 1.8838 1.1320
Sm -2.4907 7.7820 3.8610
```

=====

Record 3
SmI2O8 | PBE | optimized geometry

As for the density of states at the Fermi level: 0.44 states/eV per atom. The formation energy from raw total energies comes out at -0.8052 eV per atom. As for the volume: 21.16 Å³/atom. The total energy comes out at -5.122 eV/atom.

```
11
Lattice="6.9546 0.0003 -0.0002 -0.0003 5.3840 -3.1072 0.0001 -0.0010 6.2163" Properties=species:S:1:pos:R:3 pbc="T T T"
Sm 0.0001 -0.0010 6.2162
I 2.0182 1.7941 3.1084
I 4.9362 3.5892 0.0004
O 3.1333 3.5892 0.0005
O 3.8210 1.7941 3.1083
O 5.6299 4.4399 -1.4748
O 1.3242 0.9420 1.6340
O 1.3243 3.4970 3.1076
O 1.3244 0.9433 4.5835
O 5.6301 4.4413 1.4747
O 5.6300 1.8863 0.0011
```

=====

Record 4
Sm2I2O | PBE | optimized geometry

As for the density of states at the Fermi level: 0.56 states/eV per atom. The formation energy from raw total energies comes out at -0.8940 eV per atom. As for the volume: 55.43 Å³/atom. The total energy comes out at -4.393 eV/atom.

```
5
Lattice="-1.5816 3.4321 2.1366 -3.5237 -2.2949 1.0780 6.7139 -4.5449 12.2707" Properties=species:S:1:pos:R:3 pbc="T T T"
Sm -1.5917 -0.0819 3.3635
Sm 3.2003 -3.3259 12.1218
I 1.8748 -2.4285 9.6991
I -0.2662 -0.9793 5.7862
O -2.5527 0.5686 1.6073
```

=====

Record 5
Sm2I2O | PBE | optimized geometry

As for the density of states at the Fermi level: 0.36 states/eV per atom. The formation energy from raw total energies comes out at -1.9209 eV per atom. As for the volume: 33.61 Å³/atom. The total energy comes out at -5.420 eV/atom.

```
10
Lattice="-2.4847 -2.4828 2.0617 1.9003 -5.4501 -4.2730 9.5384 -0.5679 6.7885" Properties=species:S:1:pos:R:3 pbc="T T T"
Sm 4.7517 -5.4558 -0.8433
Sm 4.2023 -3.0451 5.4205
Sm 6.2811 -4.2981 2.3939
Sm 2.6729 -4.2027 2.1833
I 1.9874 -1.4149 0.6913
I 6.9665 -7.0859 3.8859
I 7.3959 -3.1176 5.1590
I 1.5581 -5.3832 -0.5818
O 4.6069 -3.8988 0.8571
O 4.3471 -4.6020 3.7201
```

=====

Record 6
SmIO5 | PBE | optimized geometry

The formation energy from raw total energies comes out at -1.4151 eV per atom. As for the volume: 14.80 Å³/atom. The total energy comes out at -5.852 eV/atom.

```
14
Lattice="-2.2340 -5.1091 -0.2775 2.8081 -3.3456 3.4774 -4.2176 -1.4490 6.3438" Properties=species:S:1:pos:R:3 pbc="T T T"
Sm -0.9668 -4.6594 3.0373
Sm -2.6767 -5.2444 6.5063
I 0.0000 0.0000 0.0000
I -2.1088 -0.7245 3.1719
O -0.0933 -6.7518 3.1644
O -0.6356 -4.4676 5.3700
O -2.0850 -7.4353 6.4235
O -2.8694 -5.3248 1.6204
O 1.2489 -3.9604 2.6014
O -4.8923 -5.9434 6.9423
O -0.7741 -4.5790 7.9232
O -1.5585 -2.4685 3.1202
O -3.0079 -5.4362 4.1737
O -3.5502 -3.1520 6.3793
```